No. 1
Density functional theory data (PBE) for YBe2Cr after structural relaxation.

* calculated volume: 15.622 Å³ per atom
* E above lowest polymorph: 334 meV per atom
* DFT formation energy: 468 meV per atom

The structure in POSCAR format:
```
YBe2Cr
1.0
4.3718 0.0000 0.0000
0.0000 4.3718 0.0000
0.0000 0.0000 3.2695
Y Be Cr
1 2 1
direct
0.0000 0.0000 0.0000
0.0000 0.5000 0.5000
0.5000 0.0000 0.5000
0.5000 0.5000 0.0000
```



No. 2
Density functional theory data (PBE) for YBeCr4 after structural relaxation.

* calculated volume: 14.296 Å³ per atom
* DFT formation energy: 491 meV per atom

The structure in POSCAR format:
```
YBeCr4
1.0
0.0000 3.5004 3.5004
3.5004 0.0000 3.5004
3.5004 3.5004 0.0000
Y Be Cr
1 1 4
direct
0.0000 0.0000 0.0000
0.2500 0.2500 0.2500
0.1289 0.6237 0.6237
0.6237 0.1289 0.6237
0.6237 0.6237 0.1289
0.6237 0.6237 0.6237
```



No. 3
Density functional theory data (PBE) for YBeCr2 after structural relaxation.

* calculated volume: 17.198 Å³ per atom
* DFT formation energy: 693 meV per atom

The structure in POSCAR format:
```
YBeCr2
1.0
3.9994 0.0000 0.0000
0.0000 3.9994 0.0000
0.0000 0.0000 17.2032
Y Be Cr
4 4 8
direct
0.0000 0.0000 0.0000
0.0000 0.5000 0.2500
0.5000 0.0000 0.7500
0.5000 0.5000 0.5000
0.0000 0.0000 0.5000
0.0000 0.5000 0.7500
0.5000 0.0000 0.2500
0.5000 0.5000 0.0000
0.0689 0.7500 0.6250
0.2500 0.0689 0.3750
0.2500 0.4311 0.8750
0.4311 0.7500 0.1250
0.5689 0.2500 0.1250
0.7500 0.5689 0.8750
0.7500 0.9311 0.3750
0.9311 0.2500 0.6250
```



No. 4
Density functional theory data (PBE) for YBeCr2 after structural relaxation.

* calculated volume: 16.280 Å³ per atom
* DFT formation energy: 361 meV per atom

The structure in POSCAR format:
```
YBeCr2
1.0
6.3864 0.0000 0.0000
0.0000 6.3864 0.0000
0.0000 0.0000 6.3864
Y Be Cr
4 4 8
direct
0.0000 0.0000 0.0000
0.0000 0.5000 0.5000
0.5000 0.0000 0.5000
0.5000 0.5000 0.0000
0.2500 0.2500 0.7500
0.2500 0.7500 0.2500
0.7500 0.2500 0.2500
0.7500 0.7500 0.7500
0.0000 0.0000 0.5000
0.0000 0.5000 0.0000
0.2500 0.2500 0.2500
0.2500 0.7500 0.7500
0.5000 0.0000 0.0000
0.5000 0.5000 0.5000
0.7500 0.2500 0.7500
0.7500 0.7500 0.2500
```



No. 5
Density functional theory data (PBE) for YBe2Cr after structural relaxation.

* calculated volume: 15.239 Å³ per atom
* E above lowest polymorph: 303 meV per atom
* DFT formation energy: 437 meV per atom

The structure in POSCAR format:
```
YBe2Cr
1.0
2.9809 0.0000 0.0000
0.0000 2.9809 0.0000
0.0000 0.0000 6.8599
Y Be Cr
1 2 1
direct
0.0000 0.0000 0.0000
0.0000 0.0000 0.4801
0.5000 0.5000 0.3232
0.5000 0.5000 0.6725
```



No. 6
Density functional theory data (PBE) for YBeCr2 after structural relaxation.

* calculated volume: 14.372 Å³ per atom
* DFT formation energy: 695 meV per atom

The structure in POSCAR format:
```
YBeCr2
1.0
3.7901 0.0000 0.0000
0.0000 3.7978 0.0000
0.0000 0.0000 7.9878
Y Be Cr
2 2 4
direct
0.0000 0.0000 0.0000
0.5000 0.5000 0.0000
0.0000 0.0000 0.5000
0.5000 0.5000 0.5000
0.0000 0.5000 0.3124
0.0000 0.5000 0.6876
0.5000 0.0000 0.3124
0.5000 0.0000 0.6876
```